Ba2Zn2Sb3 (PBE, relaxed); crystal system = monoclinic; SG = No. 12; DOS(E_F) = 1.05 states/eV/cell; electronic total energy = -3.3399 eV/atom
1.0
4.629 0.000 1.026
2.118 9.036 1.400
0.011 0.065 10.906
Sb Ba Zn
6 4 4
Direct
0.599 0.247 0.555 Sb
0.078 0.975 0.869 Sb
0.922 0.025 0.131 Sb
0.853 0.507 0.786 Sb
0.147 0.493 0.214 Sb
0.401 0.753 0.445 Sb
0.398 0.263 0.940 Ba
0.261 0.133 0.345 Ba
0.739 0.867 0.655 Ba
0.602 0.737 0.060 Ba
0.589 0.468 0.355 Zn
0.962 0.768 0.307 Zn
0.038 0.232 0.693 Zn
0.411 0.532 0.645 Zn